[1]
# BaTlSi2

Crystalline BaTlSi2 at its relaxed geometry (PBE, the Alexandria database).

The value obtained for the density of states at the Fermi level is 5.1 states/eV per cell. For the distance to the lowest polymorph of the same formula, the calculation gives 0.422 eV/atom. For the raw formation energy, the calculation gives 6.78 kcal/mol of atoms. The crystal system is tetragonal.

Unit cell a=4.789 b=4.789 c=9.511 alpha=90.00 beta=90.00 gamma=90.00
Space group I4/mmm (No. 139)
Symmetry-distinct sites (fractional):
1 Ba 0.000 0.000 0.000 x2
2 Tl 0.000 0.000 0.500 x2
3 Si 0.000 0.500 0.250 x4

=====

[2]
# Ba5TlSi2

Crystalline Ba5TlSi2 at its relaxed geometry (PBE, the Alexandria database).

The value obtained for the density of states at the Fermi level is 32.2 states/eV per cell. For the raw formation energy, the calculation gives -7.96 kcal/mol of atoms. The crystal system is tetragonal.

Unit cell a=8.616 b=8.616 c=17.569 alpha=90.00 beta=90.00 gamma=90.00
Space group I4/mcm (No. 140)
Symmetry-distinct sites (fractional):
1 Ba 0.000 0.000 0.000 x4
2 Ba 0.177 0.323 0.136 x16
3 Tl 0.000 0.000 0.250 x4
4 Si 0.101 0.399 0.500 x8

=====

[3]
# BaTlSi2

Crystalline BaTlSi2 at its relaxed geometry (PBE, the Alexandria database).

The value obtained for the density of states at the Fermi level is 3.8 states/eV per cell. For the distance to the lowest polymorph of the same formula, the calculation gives 0.082 eV/atom. For the raw formation energy, the calculation gives -1.06 kcal/mol of atoms. The crystal system is monoclinic.

Unit cell a=10.099 b=3.951 c=6.324 alpha=90.00 beta=111.73 gamma=90.00
Space group C2/m (No. 12)
Symmetry-distinct sites (fractional):
1 Ba 0.000 0.000 0.000 x2
2 Tl 0.000 0.500 0.500 x2
3 Si 0.246 0.500 0.376 x4

=====

[4]
# BaTlSi2

Crystalline BaTlSi2 at its relaxed geometry (PBE, the Alexandria database).

The value obtained for the density of states at the Fermi level is 1.6 states/eV per cell. For the distance to the lowest polymorph of the same formula, the calculation gives 0.328 eV/atom. For the raw formation energy, the calculation gives 4.61 kcal/mol of atoms. The crystal system is orthorhombic.

Unit cell a=3.407 b=4.996 c=6.482 alpha=90.00 beta=90.00 gamma=90.00
Space group Pmmm (No. 47)
Symmetry-distinct sites (fractional):
1 Ba 0.000 0.000 0.000 x1
2 Tl 0.500 0.000 0.500 x1
3 Si 0.500 0.500 0.308 x2

=====

[5]
# Ba2TlSi

Crystalline Ba2TlSi at its relaxed geometry (PBE, the Alexandria database).

The value obtained for the density of states at the Fermi level is 5.2 states/eV per cell. For the raw formation energy, the calculation gives 1.05 kcal/mol of atoms. The crystal system is orthorhombic.

Unit cell a=4.023 b=5.641 c=7.018 alpha=90.00 beta=90.00 gamma=90.00
Space group Pmm2 (No. 25)
Symmetry-distinct sites (fractional):
1 Ba 0.000 0.000 0.000 x1
2 Ba 0.500 0.500 0.440 x1
3 Tl 0.500 0.500 0.921 x1
4 Si 0.000 0.000 0.518 x1

=====

[6]
# Ba2TlSi

Crystalline Ba2TlSi at its relaxed geometry (PBE, the Alexandria database).

The value obtained for the density of states at the Fermi level is 8.0 states/eV per cell. For the raw formation energy, the calculation gives -4.97 kcal/mol of atoms. The crystal system is trigonal.

Unit cell a=4.6651 b=4.6651 c=27.9945 alpha=90.00 beta=90.00 gamma=120.00
Space group R3m (No. 160, hexagonal axes)
Symmetry-distinct sites (fractional):
1 Ba 0.0000 0.0000 0.0000 x3
2 Ba 0.0000 0.0000 0.1736 x3
3 Tl 0.0000 0.0000 0.4337 x3
4 Si 0.0000 0.0000 0.7330 x3

=====

[7]
# Ba2TlSi

Crystalline Ba2TlSi at its relaxed geometry (PBE, the Alexandria database).

The value obtained for the density of states at the Fermi level is 9.9 states/eV per cell. For the raw formation energy, the calculation gives -1.12 kcal/mol of atoms. The crystal system is trigonal.

Unit cell a=4.3287 b=4.3287 c=30.1873 alpha=90.00 beta=90.00 gamma=120.00
Space group R-3m (No. 166, hexagonal axes)
Symmetry-distinct sites (fractional):
1 Ba 0.0000 0.0000 0.2385 x6
2 Tl 0.0000 0.0000 0.0000 x3
3 Si 0.0000 0.0000 0.5000 x3

=====

[8]
# BaTl3Si

Crystalline BaTl3Si at its relaxed geometry (PBE, the Alexandria database).

The value obtained for the density of states at the Fermi level is 3.4 states/eV per cell. For the distance to the lowest polymorph of the same formula, the calculation gives 1.055 eV/atom. For the raw formation energy, the calculation gives 25.69 kcal/mol of atoms. The crystal system is cubic.

Unit cell a=6.309 b=6.309 c=6.309 alpha=90.00 beta=90.00 gamma=90.00
Space group Pm-3m (No. 221)
Symmetry-distinct sites (fractional):
1 Ba 0.000 0.000 0.000 x1
2 Tl 0.000 0.000 0.500 x3
3 Si 0.500 0.500 0.500 x1

=====

[9]
# BaTlSi2

Crystalline BaTlSi2 at its relaxed geometry (PBE, the Alexandria database).

The value obtained for the density of states at the Fermi level is 2.3 states/eV per cell. For the distance to the lowest polymorph of the same formula, the calculation gives 0.215 eV/atom. For the raw formation energy, the calculation gives 2.00 kcal/mol of atoms. The crystal system is tetragonal.

Unit cell a=3.971 b=3.971 c=6.934 alpha=90.00 beta=90.00 gamma=90.00
Space group P4/mmm (No. 123)
Symmetry-distinct sites (fractional):
1 Ba 0.000 0.000 0.000 x1
2 Tl 0.000 0.000 0.500 x1
3 Si 0.500 0.500 0.329 x2

=====

[10]
# Ba2YTlSi

Crystalline Ba2YTlSi at its relaxed geometry (PBE, the Alexandria database).

The value obtained for the density of states at the Fermi level is 6.5 states/eV per cell. For the raw formation energy, the calculation gives 10.91 kcal/mol of atoms. The crystal system is tetragonal.

Unit cell a=6.577 b=6.577 c=5.352 alpha=90.00 beta=90.00 gamma=90.00
Space group P4/mmm (No. 123)
Symmetry-distinct sites (fractional):
1 Ba 0.000 0.500 0.000 x2
2 Y 0.000 0.000 0.000 x1
3 Tl 0.500 0.500 0.500 x1
4 Si 0.000 0.000 0.500 x1

=====

[11]
# BaTlZn2Si

Crystalline BaTlZn2Si at its relaxed geometry (PBE, the Alexandria database).

The value obtained for the density of states at the Fermi level is 4.8 states/eV per cell. For the raw formation energy, the calculation gives 4.18 kcal/mol of atoms. The crystal system is tetragonal.

Unit cell a=4.907 b=4.907 c=6.241 alpha=90.00 beta=90.00 gamma=90.00
Space group P4/mmm (No. 123)
Symmetry-distinct sites (fractional):
1 Ba 0.000 0.000 0.000 x1
2 Tl 0.500 0.500 0.000 x1
3 Zn 0.000 0.500 0.500 x2
4 Si 0.000 0.000 0.500 x1

=====

[12]
# BaTmSi

Crystalline BaTmSi at its relaxed geometry (PBE, the Alexandria database).

The value obtained for the density of states at the Fermi level is 6.5 states/eV per cell. For the raw formation energy, the calculation gives -9.63 kcal/mol of atoms. The crystal system is tetragonal.

Unit cell a=4.991 b=4.991 c=7.691 alpha=90.00 beta=90.00 gamma=90.00
Space group P4/nmm (No. 129, origin choice 2)
Symmetry-distinct sites (fractional):
1 Ba 0.250 0.250 0.138 x2
2 Tm 0.250 0.750 0.500 x2
3 Si 0.250 0.250 0.691 x2

=====

[13]
# BaVSi2

Crystalline BaVSi2 at its relaxed geometry (PBE, the Alexandria database).

The value obtained for the density of states at the Fermi level is 11.4 states/eV per cell. For the distance to the lowest polymorph of the same formula, the calculation gives 0.000 eV/atom. For the raw formation energy, the calculation gives 0.08 kcal/mol of atoms. The crystal system is tetragonal.

Unit cell a=5.257 b=5.257 c=16.112 alpha=90.00 beta=90.00 gamma=90.00
Space group I4_1/amd (No. 141, origin choice 2)
Symmetry-distinct sites (fractional):
1 Ba 0.000 0.250 0.375 x4
2 V 0.000 0.250 0.875 x4
3 Si 0.000 0.000 0.000 x8

=====

[14]
# BaVSi2

Crystalline BaVSi2 at its relaxed geometry (PBE, the Alexandria database).

The value obtained for the density of states at the Fermi level is 7.4 states/eV per cell. For the distance to the lowest polymorph of the same formula, the calculation gives 0.458 eV/atom. For the raw formation energy, the calculation gives 10.64 kcal/mol of atoms. The crystal system is cubic.

Unit cell a=7.081 b=7.081 c=7.081 alpha=90.00 beta=90.00 gamma=90.00
Space group Fm-3m (No. 225)
Symmetry-distinct sites (fractional):
1 Ba 0.000 0.000 0.000 x4
2 V 0.000 0.000 0.500 x4
3 Si 0.250 0.250 0.250 x8